In2MoP: optimized geometry, PBE-GGA.

The structure belongs to space group P4/mmm (No. 123); the cell edges are 2.973, 2.973 and 8.706 Å and the angles 90.00°, 90.00° and 90.00°. The asymmetric unit holds In at (0.000, 0.000, 0.243), Mo at (0.500, 0.500, 0.000) and P at (0.500, 0.500, 0.500).

The formation energy is 55.6 kJ per mole of atoms. As for the total energy: -4.853 eV per atom. The calculation puts the total magnetization at 0.2 μB/cell.